Computed, not measured: a geometry-optimized Ta2AlCd structure at the GGA-PBE level of DFT.

Results
electronic total energy: -6.72 eV per atom
ρ: 11.5 g/cm3

Unit cell a=4.6847 b=4.6847 c=4.6847 alpha=60.00 beta=60.00 gamma=60.00
With the nearest neighbours (Å) after each atom.
Atoms (fractional coordinates):
Cd (0.2500, 0.2500, 0.2500)  4 Al 2.87, 4 Ta 2.87
Ta (0.7500, 0.7500, 0.7500)  4 Al 2.87, 4 Ta 2.87
Ta (0.0000, 0.0000, 0.0000)  4 Ta 2.87, 4 Cd 2.87
Al (0.5000, 0.5000, 0.5000)  4 Cd 2.87, 4 Ta 2.87